# 1
Compound: CsBiPbI6
Source: Alexandria
Functional: PBE
Structure: optimized geometry

Cell and atoms, written as CIF:
```
data_CsBiPbI6
_chemical_formula_sum 'Cs1 Bi1 Pb1 I6'
_space_group_name_H-M_alt 'P 1'
_space_group_IT_number 1
_space_group_name_Hall 'P 1'
_cell_length_a 8.252
_cell_length_b 8.252
_cell_length_c 8.483
_cell_angle_alpha 90.00
_cell_angle_beta 90.00
_cell_angle_gamma 59.99
loop_
_atom_site_label
_atom_site_fract_x
_atom_site_fract_y
_atom_site_fract_z
I1 0.617 0.370 0.719
I2 0.617 0.013 0.281
I3 0.013 0.370 0.281
I4 0.013 0.617 0.719
I5 0.370 0.013 0.719
I6 0.370 0.617 0.281
Cs1 0.000 0.000 0.000
Pb1 0.667 0.667 0.500
Bi1 0.333 0.333 0.500
```

Computed properties:
**Symmetry**: P312
**N(E_F)**: 0.000 states/eV/cell
**Formation energy without anion corrections**: -0.771 eV/atom

# 2
Compound: Cs2BiPtI
Source: Alexandria
Functional: PBE
Structure: optimized geometry

Cell and atoms, written as CIF:
```
data_Cs2BiPtI
_chemical_formula_sum 'Cs2 Bi1 Pt1 I1'
_space_group_name_H-M_alt 'P 1'
_space_group_IT_number 1
_space_group_name_Hall 'P 1'
_cell_length_a 7.050
_cell_length_b 7.050
_cell_length_c 5.080
_cell_angle_alpha 90.00
_cell_angle_beta 90.00
_cell_angle_gamma 90.00
loop_
_atom_site_label
_atom_site_fract_x
_atom_site_fract_y
_atom_site_fract_z
Pt1 0.000 0.000 0.000
I1 0.500 0.500 0.500
Cs1 0.000 0.500 0.000
Cs2 0.500 0.000 0.000
Bi1 0.000 0.000 0.500
```

Computed properties:
**Symmetry**: P4/mmm
**N(E_F)**: 1.993 states/eV/cell
**Formation energy without anion corrections**: -0.564 eV/atom

# 3
Compound: CsPuBiI6
Source: Alexandria
Functional: PBE
Structure: optimized geometry

Cell and atoms, written as CIF:
```
data_CsPuBiI6
_chemical_formula_sum 'Cs1 Pu1 Bi1 I6'
_space_group_name_H-M_alt 'P 1'
_space_group_IT_number 1
_space_group_name_Hall 'P 1'
_cell_length_a 8.349
_cell_length_b 8.319
_cell_length_c 8.194
_cell_angle_alpha 89.97
_cell_angle_beta 89.97
_cell_angle_gamma 59.98
loop_
_atom_site_label
_atom_site_fract_x
_atom_site_fract_y
_atom_site_fract_z
Pu1 0.669 0.665 0.500
I1 0.389 0.611 0.275
I2 0.609 0.387 0.725
I3 0.386 0.001 0.723
I4 0.003 0.392 0.271
I5 0.611 0.003 0.277
I6 0.002 0.606 0.729
Bi1 0.331 0.335 0.500
Cs1 0.000 0.000 0.000
```

Computed properties:
**Symmetry**: P1
**N(E_F)**: 18.667 states/eV/cell
**Formation energy without anion corrections**: -0.901 eV/atom

# 4
Compound: CsRb2BiI6
Source: Alexandria
Functional: PBE
Structure: optimized geometry

Cell and atoms, written as CIF:
```
data_CsRb2BiI6
_chemical_formula_sum 'Cs1 Rb2 Bi1 I6'
_space_group_name_H-M_alt 'P 1'
_space_group_IT_number 1
_space_group_name_Hall 'P 1'
_cell_length_a 9.131
_cell_length_b 9.131
_cell_length_c 9.493
_cell_angle_alpha 61.25
_cell_angle_beta 61.24
_cell_angle_gamma 59.99
loop_
_atom_site_label
_atom_site_fract_x
_atom_site_fract_y
_atom_site_fract_z
Bi1 0.326 0.326 0.023
Rb1 0.529 0.529 0.413
Rb2 0.015 0.015 0.955
I1 0.983 0.556 0.241
I2 0.134 0.411 0.782
I3 0.411 0.673 0.782
I4 0.556 0.220 0.241
I5 0.220 0.983 0.241
I6 0.673 0.134 0.782
Cs1 0.814 0.814 0.557
```

Computed properties:
**Polymorph energy (0 for the lowest one)**: 0.000 eV/atom
**Symmetry**: R3
**N(E_F)**: 0.000 states/eV/cell
**Formation energy without anion corrections**: -1.089 eV/atom

# 5
Compound: CsRb2BiI6
Source: Alexandria
Functional: PBE
Structure: optimized geometry

Cell and atoms, written as CIF:
```
data_CsRb2BiI6
_chemical_formula_sum 'Cs1 Rb2 Bi1 I6'
_space_group_name_H-M_alt 'P 1'
_space_group_IT_number 1
_space_group_name_Hall 'P 1'
_cell_length_a 9.451
_cell_length_b 9.451
_cell_length_c 9.451
_cell_angle_alpha 60.00
_cell_angle_beta 60.00
_cell_angle_gamma 90.00
loop_
_atom_site_label
_atom_site_fract_x
_atom_site_fract_y
_atom_site_fract_z
I1 0.231 0.769 0.000
I2 0.769 0.231 0.000
I3 0.231 0.231 0.539
I4 0.231 0.231 0.000
I5 0.769 0.769 0.461
I6 0.769 0.769 0.000
Bi1 0.000 0.000 0.000
Cs1 0.500 0.500 0.000
Rb1 0.250 0.750 0.500
Rb2 0.750 0.250 0.500
```

Computed properties:
**Polymorph energy (0 for the lowest one)**: 0.082 eV/atom
**Symmetry**: Fm-3m
**N(E_F)**: 0.000 states/eV/cell
**Formation energy without anion corrections**: -1.007 eV/atom

# 6
Compound: Cs2BiRuI6
Source: Alexandria
Functional: PBE
Structure: optimized geometry

Cell and atoms, written as CIF:
```
data_Cs2BiRuI6
_chemical_formula_sum 'Cs2 Bi1 Ru1 I6'
_space_group_name_H-M_alt 'P 1'
_space_group_IT_number 1
_space_group_name_Hall 'P 1'
_cell_length_a 8.383
_cell_length_b 8.383
_cell_length_c 8.406
_cell_angle_alpha 60.09
_cell_angle_beta 60.09
_cell_angle_gamma 90.00
loop_
_atom_site_label
_atom_site_fract_x
_atom_site_fract_y
_atom_site_fract_z
I1 0.733 0.733 0.533
I2 0.267 0.267 0.467
I3 0.734 0.734 0.000
I4 0.266 0.734 0.000
I5 0.266 0.266 0.000
I6 0.734 0.266 0.000
Cs1 0.750 0.250 0.500
Cs2 0.250 0.750 0.500
Ru1 0.500 0.500 0.000
Bi1 0.000 0.000 0.000
```

Computed properties:
**Symmetry**: I4/mmm
**N(E_F)**: 6.597 states/eV/cell
**Formation energy without anion corrections**: -0.595 eV/atom